## LiCo2Cl (PBEsol)

Data for an optimized crystal structure of LiCo2Cl.

The value obtained for the energy above the lowest structure with this stoichiometry is 0.0 meV per atom. The calculation puts the total magnetic moment at 3.68 μB per formula unit. As for the uncorrected formation energy: 0.012 eV/atom. The volume is 14.94 Å³/atom. The total energy is -38.80 eV per cell.

The space group is Cm (No. 8) and the conventional cell measures 5.774, 3.073 and 7.172 Å, with angles of 90.00, 110.05 and 90.00 degrees. Symmetry generates all atoms from Li at (0.000, 0.000, 0.000), Co at (0.168, 0.000, 0.678), Co at (0.414, 0.000, 0.505) and Cl at (0.275, 0.500, 0.213).

=====

## Li6CoCl8 (PBEsol)

Data for an optimized crystal structure of Li6CoCl8.

The calculation puts the total magnetic moment at 3.00 μB per formula unit. As for the uncorrected formation energy: -1.556 eV/atom. The volume is 17.15 Å³/atom. The total energy is -235.77 eV per cell.

The space group is Fm-3m (No. 225) and the conventional cell measures 10.096, 10.096 and 10.096 Å, with angles of 90.00, 90.00 and 90.00 degrees. Symmetry generates all atoms from Li at (0.000, 0.250, 0.250), Co at (0.000, 0.000, 0.000), Cl at (0.000, 0.000, 0.238) and Cl at (0.250, 0.250, 0.250).

=====

## LiCoCl2 (PBEsol)

Data for an optimized crystal structure of LiCoCl2.

The value obtained for the energy above the lowest structure with this stoichiometry is 0.0 meV per atom. The calculation puts the total magnetic moment at 2.00 μB per formula unit. As for the uncorrected formation energy: -0.758 eV/atom. The volume is 15.86 Å³/atom. The total energy is -16.75 eV per cell.

The space group is Pm (No. 6) and the conventional cell measures 3.663, 4.794 and 3.669 Å, with angles of 90.00, 100.09 and 90.00 degrees. Symmetry generates all atoms from Li at (0.000, 0.000, 0.000), Co at (0.338, 0.500, 0.658), Cl at (0.428, 0.000, 0.571) and Cl at (0.928, 0.500, 0.068).

=====

## LiCoCl2 (PBEsol)

Data for an optimized crystal structure of LiCoCl2.

The value obtained for the energy above the lowest structure with this stoichiometry is 175.6 meV per atom. The calculation puts the total magnetic moment at 1.91 μB per formula unit. As for the uncorrected formation energy: -0.582 eV/atom. The volume is 18.80 Å³/atom. The total energy is -16.05 eV per cell.

The space group is Pmmm (No. 47) and the conventional cell measures 3.284, 3.332 and 6.872 Å, with angles of 90.00, 90.00 and 90.00 degrees. Symmetry generates all atoms from Li at (0.000, 0.000, 0.000), Co at (0.000, 0.500, 0.500), Cl at (0.500, 0.000, 0.500) and Cl at (0.500, 0.500, 0.000).

=====

## LiCoCl2 (PBEsol)

Data for an optimized crystal structure of LiCoCl2.

The value obtained for the energy above the lowest structure with this stoichiometry is 81.8 meV per atom. The calculation puts the total magnetic moment at 2.00 μB per formula unit. As for the uncorrected formation energy: -0.676 eV/atom. The volume is 17.84 Å³/atom. The total energy is -49.27 eV per cell.

The space group is R-3m (No. 166, hexagonal axes) and the conventional cell measures 3.4033, 3.4033 and 21.3371 Å, with angles of 90.00, 90.00 and 120.00 degrees. Symmetry generates all atoms from Li at (0.0000, 0.0000, 0.0000), Co at (0.0000, 0.0000, 0.5000) and Cl at (0.0000, 0.0000, 0.4005).

=====

## LiCo2Cl (PBEsol)

Data for an optimized crystal structure of LiCo2Cl.

The value obtained for the energy above the lowest structure with this stoichiometry is 400.6 meV per atom. The calculation puts the total magnetic moment at 3.75 μB per formula unit. As for the uncorrected formation energy: 0.413 eV/atom. The volume is 12.46 Å³/atom. The total energy is -17.80 eV per cell.

The space group is P4/mmm (No. 123) and the conventional cell measures 3.121, 3.121 and 5.118 Å, with angles of 90.00, 90.00 and 90.00 degrees. Symmetry generates all atoms from Li at (0.000, 0.000, 0.000), Co at (0.500, 0.500, 0.217) and Cl at (0.000, 0.000, 0.500).

=====

## LiCoPCl2 (PBEsol)

Data for an optimized crystal structure of LiCoPCl2.

The calculation puts the total magnetic moment at 2.45 μB per formula unit. As for the uncorrected formation energy: 0.535 eV/atom. The volume is 17.59 Å³/atom. The total energy is -16.84 eV per cell.

The space group is P4/mmm (No. 123) and the conventional cell measures 4.276, 4.276 and 4.810 Å, with angles of 90.00, 90.00 and 90.00 degrees. Symmetry generates all atoms from Li at (0.000, 0.000, 0.000), Co at (0.500, 0.500, 0.500), P at (0.000, 0.000, 0.500) and Cl at (0.000, 0.500, 0.000).

=====

## MgCoCl3 (PBEsol)

Data for an optimized crystal structure of MgCoCl3.

The calculation puts the total magnetic moment at 2.40 μB per formula unit. As for the uncorrected formation energy: -0.384 eV/atom. The volume is 22.02 Å³/atom. The total energy is -17.40 eV per cell.

The space group is Pm-3m (No. 221) and the conventional cell measures 4.793, 4.793 and 4.793 Å, with angles of 90.00, 90.00 and 90.00 degrees. Symmetry generates all atoms from Mg at (0.000, 0.000, 0.000), Co at (0.500, 0.500, 0.500) and Cl at (0.000, 0.000, 0.500).

=====

## MgCoCl (PBEsol)

Data for an optimized crystal structure of MgCoCl.

The value obtained for the energy above the lowest structure with this stoichiometry is 385.3 meV per atom. The calculation puts the total magnetic moment at 0.71 μB per formula unit. As for the uncorrected formation energy: 0.407 eV/atom. The volume is 16.42 Å³/atom. The total energy is -40.96 eV per cell.

The space group is F-43m (No. 216) and the conventional cell measures 5.819, 5.819 and 5.819 Å, with angles of 90.00, 90.00 and 90.00 degrees. Symmetry generates all atoms from Mg at (0.000, 0.000, 0.000), Co at (0.250, 0.250, 0.250) and Cl at (0.000, 0.000, 0.500).

=====

## MgCoCl (PBEsol)

Data for an optimized crystal structure of MgCoCl.

The value obtained for the energy above the lowest structure with this stoichiometry is 4.9 meV per atom. The calculation puts the total magnetic moment at 1.50 μB per formula unit. As for the uncorrected formation energy: 0.027 eV/atom. The volume is 16.10 Å³/atom. The total energy is -45.52 eV per cell.

The space group is Fmm2 (No. 42) and the conventional cell measures 3.164, 5.294 and 11.536 Å, with angles of 90.00, 90.00 and 90.00 degrees. Symmetry generates all atoms from Mg at (0.000, 0.000, 0.000), Co at (0.000, 0.000, 0.671) and Cl at (0.000, 0.000, 0.326).

=====

## MgCoCl (PBEsol)

Data for an optimized crystal structure of MgCoCl.

The value obtained for the energy above the lowest structure with this stoichiometry is 0.0 meV per atom. The calculation puts the total magnetic moment at 0.00 μB per formula unit. As for the uncorrected formation energy: 0.022 eV/atom. The volume is 14.50 Å³/atom. The total energy is -11.40 eV per cell.

The space group is P-6m2 (No. 187) and the conventional cell measures 3.8328, 3.8328 and 3.4183 Å, with angles of 90.00, 90.00 and 120.00 degrees. Symmetry generates all atoms from Mg at (0.0000, 0.0000, 0.0000), Co at (0.6667, 0.3333, 0.5000) and Cl at (0.3333, 0.6667, 0.5000).

=====

## MgCoCl2 (PBEsol)

Data for an optimized crystal structure of MgCoCl2.

The value obtained for the energy above the lowest structure with this stoichiometry is 0.0 meV per atom. The calculation puts the total magnetic moment at 2.48 μB per formula unit. As for the uncorrected formation energy: -0.341 eV/atom. The volume is 19.93 Å³/atom. The total energy is -44.51 eV per cell.

The space group is R-3m (No. 166, hexagonal axes) and the conventional cell measures 3.3424, 3.3424 and 24.7150 Å, with angles of 90.00, 90.00 and 120.00 degrees. Symmetry generates all atoms from Mg at (0.0000, 0.0000, 0.0000), Co at (0.0000, 0.0000, 0.5000) and Cl at (0.0000, 0.0000, 0.2232).

=====

## MgCoCl4 (PBEsol)

Data for an optimized crystal structure of MgCoCl4.

The calculation puts the total magnetic moment at 3.65 μB per formula unit. As for the uncorrected formation energy: 0.663 eV/atom. The volume is 21.85 Å³/atom. The total energy is -54.03 eV per cell.

The space group is F-43m (No. 216) and the conventional cell measures 8.064, 8.064 and 8.064 Å, with angles of 90.00, 90.00 and 90.00 degrees. Symmetry generates all atoms from Mg at (0.000, 0.000, 0.000), Co at (0.250, 0.250, 0.750) and Cl at (0.125, 0.125, 0.375).

=====

## MgCoCl2 (PBEsol)

Data for an optimized crystal structure of MgCoCl2.

The value obtained for the energy above the lowest structure with this stoichiometry is 124.5 meV per atom. The calculation puts the total magnetic moment at 1.29 μB per formula unit. As for the uncorrected formation energy: -0.217 eV/atom. The volume is 17.04 Å³/atom. The total energy is -14.34 eV per cell.

The space group is Pmmm (No. 47) and the conventional cell measures 3.154, 3.821 and 5.655 Å, with angles of 90.00, 90.00 and 90.00 degrees. Symmetry generates all atoms from Mg at (0.000, 0.000, 0.000), Co at (0.500, 0.000, 0.500), Cl at (0.000, 0.500, 0.500) and Cl at (0.500, 0.500, 0.000).

=====

## MgCoCl2 (PBEsol)

Data for an optimized crystal structure of MgCoCl2.

The value obtained for the energy above the lowest structure with this stoichiometry is 39.4 meV per atom. The calculation puts the total magnetic moment at 1.26 μB per formula unit. As for the uncorrected formation energy: -0.302 eV/atom. The volume is 21.32 Å³/atom. The total energy is -29.36 eV per cell.

The space group is Imm2 (No. 44) and the conventional cell measures 3.140, 6.305 and 8.616 Å, with angles of 90.00, 90.00 and 90.00 degrees. Symmetry generates all atoms from Mg at (0.000, 0.000, 0.000), Co at (0.000, 0.500, 0.237), Cl at (0.000, 0.000, 0.565) and Cl at (0.000, 0.500, 0.711).